<i>
# Pm2ThPt

A relaxed structure of Pm2ThPt (GGA-PBE, Alexandria via LeMat-Bulk).

Density of states at the Fermi level: 19.0 states/eV per cell

Lattice parameters (Å, degrees): 6.655 7.113 10.086 90.00 90.00 90.00
Fractional positions:
1 Pm 0.335 0.187 0.438
2 Pm 0.665 0.813 0.938
3 Pm 0.335 0.187 0.062
4 Pm 0.165 0.687 0.438
5 Pm 0.165 0.687 0.062
6 Pm 0.835 0.313 0.938
7 Pm 0.835 0.313 0.562
8 Pm 0.665 0.813 0.562
9 Pt 0.558 0.120 0.750
10 Pt 0.058 0.380 0.250
11 Pt 0.942 0.620 0.750
12 Pt 0.442 0.880 0.250
13 Th 0.346 0.468 0.750
14 Th 0.846 0.032 0.250
15 Th 0.654 0.532 0.250
16 Th 0.154 0.968 0.750

***

<ii>
# Pm2ThPt

A relaxed structure of Pm2ThPt (GGA-PBE, Alexandria via LeMat-Bulk).

Density of states at the Fermi level: 3.3 states/eV per cell

Lattice parameters (Å, degrees): 3.484 3.484 11.394 81.21 81.21 60.00
Fractional positions:
1 Pm 0.920 0.920 0.240
2 Pm 0.080 0.080 0.760
3 Pt 0.000 0.000 0.000
4 Th 0.500 0.500 0.500

***

<iii>
# Pm2ThPt

A relaxed structure of Pm2ThPt (GGA-PBE, Alexandria via LeMat-Bulk).

Density of states at the Fermi level: 4.9 states/eV per cell

Lattice parameters (Å, degrees): 3.641 3.641 8.432 90.00 90.00 90.00
Fractional positions:
1 Th 0.500 0.500 0.500
2 Pt 0.500 0.500 0.000
3 Pm 0.000 0.000 0.798
4 Pm 0.000 0.000 0.202

***

Most stable one: <i>, least stable one: <ii>.

***

<i>
# Pm6Tl2Pt

A relaxed structure of Pm6Tl2Pt (GGA-PBE, Alexandria via LeMat-Bulk).

Density of states at the Fermi level: 12.2 states/eV per cell

Lattice parameters (Å, degrees): 3.922 8.913 8.912 120.00 90.00 90.00
Fractional positions:
1 Pm 0.500 0.398 0.398
2 Pm 0.000 0.755 0.755
3 Pm 0.000 0.245 0.000
4 Pm 0.000 0.000 0.245
5 Pm 0.500 0.000 0.602
6 Pm 0.500 0.602 0.000
7 Tl 0.000 0.667 0.333
8 Tl 0.000 0.333 0.667
9 Pt 0.500 0.000 0.000

***

<ii>
# Pm6Tl2Pt

A relaxed structure of Pm6Tl2Pt (GGA-PBE, Alexandria via LeMat-Bulk).

Density of states at the Fermi level: 24.2 states/eV per cell

Lattice parameters (Å, degrees): 5.141 10.239 10.235 90.00 90.00 90.00
Fractional positions:
1 Tl 0.500 0.790 0.710
2 Tl 0.000 0.710 0.210
3 Tl 0.500 0.210 0.290
4 Tl 0.000 0.290 0.790
5 Pm 0.000 0.308 0.474
6 Pm 0.000 0.692 0.526
7 Pm 0.500 0.526 0.307
8 Pm 0.500 0.808 0.026
9 Pm 0.000 0.613 0.887
10 Pm 0.500 0.474 0.693
11 Pm 0.500 0.113 0.613
12 Pm 0.500 0.887 0.387
13 Pm 0.000 0.026 0.193
14 Pm 0.500 0.192 0.974
15 Pm 0.000 0.387 0.113
16 Pm 0.000 0.974 0.807
17 Pt 0.500 0.500 0.000
18 Pt 0.000 0.000 0.500

***

Most stable one: <i>, least stable one: <ii>.

***

<i>
# Pm5Tl2Pt

A relaxed structure of Pm5Tl2Pt (GGA-PBE, Alexandria via LeMat-Bulk).

Density of states at the Fermi level: 17.0 states/eV per cell

Lattice parameters (Å, degrees): 4.860 7.760 12.714 90.00 90.00 90.00
Fractional positions:
1 Pm 0.000 0.500 0.000
2 Pm 0.500 0.319 0.574
3 Pm 0.000 0.863 0.210
4 Pm 0.000 0.000 0.500
5 Pm 0.500 0.819 0.926
6 Pm 0.500 0.681 0.426
7 Pm 0.000 0.363 0.290
8 Pm 0.000 0.137 0.790
9 Pm 0.500 0.181 0.074
10 Pm 0.000 0.637 0.710
11 Tl 0.500 0.083 0.333
12 Tl 0.500 0.583 0.167
13 Tl 0.500 0.417 0.833
14 Tl 0.500 0.917 0.667
15 Pt 0.000 0.000 0.000
16 Pt 0.000 0.500 0.500

***

<ii>
# Pm5Tl2Pt

A relaxed structure of Pm5Tl2Pt (GGA-PBE, Alexandria via LeMat-Bulk).

Density of states at the Fermi level: 7.5 states/eV per cell

Lattice parameters (Å, degrees): 7.178 7.178 6.787 121.93 121.93 89.99
Fractional positions:
1 Tl 0.233 0.733 0.466
2 Tl 0.733 0.233 0.466
3 Pm 0.731 0.731 0.964
4 Pm 0.732 0.233 0.964
5 Pm 0.232 0.232 0.964
6 Pm 0.233 0.732 0.964
7 Pm 0.741 0.741 0.483
8 Pt 0.142 0.142 0.284

***

Most stable one: <i>, least stable one: <ii>.